(1)
Below is a relaxed Ge2AsHI crystal, with properties calculated at the PBE-GGA level.

For the raw total energy, the calculation gives -16.8 eV for the cell shown.

The space group is P4/mmm (No. 123) and the conventional cell measures 5.414, 5.414 and 3.618 Å, with angles of 90.00, 90.00 and 90.00 degrees. Symmetry generates all atoms from Ge at (0.000, 0.500, 0.000), As at (0.000, 0.000, 0.000), H at (0.000, 0.000, 0.500) and I at (0.500, 0.500, 0.500).

(2)
Below is a relaxed LiCrMoW2 crystal, with properties calculated at the PBE-GGA level.

For the raw total energy, the calculation gives -41.1 eV for the cell shown. The calculation puts the formation energy at 1.427 eV per atom.

The space group is P4/mmm (No. 123) and the conventional cell measures 4.544, 4.544 and 4.501 Å, with angles of 90.00, 90.00 and 90.00 degrees. Symmetry generates all atoms from Li at (0.000, 0.000, 0.000), Cr at (0.500, 0.500, 0.500), Mo at (0.500, 0.500, 0.000) and W at (0.000, 0.500, 0.500).